The following is a PBE calculation of Er2Cd3Hg after structural relaxation, from Alexandria.

```
12
Lattice="0.000 4.927 8.568 3.414 0.000 8.568 3.414 4.927 0.000" Properties=species:S:1:pos:R:3 pbc="T T T"
Er 5.133 4.927 8.568
Er 1.707 2.464 4.284
Er 5.120 7.391 12.852
Er 1.694 4.927 8.568
Cd 3.414 2.477 7.148
Cd 3.414 4.927 5.725
Cd 3.414 2.477 9.988
Cd 3.414 7.377 7.148
Cd 3.414 4.927 11.411
Cd 3.414 7.377 9.988
Hg 3.414 4.927 2.859
Hg 3.414 4.927 14.277
```

Properties
* crystal system: orthorhombic
* formation energy from the elements: -324.7 meV/atom
* calculated density: 10.1 g/cm3
* total moment: 0.0 μB/cell
* space group: Fmmm (69)